An optimized crystal structure of Rb2LaCdBr6. Source: Alexandria via LeMat-Bulk, functional GGA-PBE.

The uncorrected formation energy is -1.511 eV per atom. The calculation puts the density of states at the Fermi level at 15.4 states/eV per cell. For the electronic total energy, the calculation gives -3.29 eV/atom.

It has space group I4/mmm (No. 139), with a = 8.4050 Å, b = 8.4050 Å, c = 11.8683 Å, α = 90.00°, β = 90.00° and γ = 90.00°. The distinct sites, in fractional coordinates, are Rb at (0.0000, 0.5000, 0.2500), La at (0.0000, 0.0000, 0.0000), Cd at (0.0000, 0.0000, 0.5000), Br at (0.0000, 0.0000, 0.2469) and Br at (0.2465, 0.2465, 0.0000).